Record 1
Li6CrCl8 | the Alexandria database | PBE | relaxed; energy relative to the elements, uncorrected = -1622 meV/atom
1.0
0.000 5.170 5.170
5.170 0.000 5.170
5.170 5.170 0.000
Li Cr Cl
6 1 8
Cartesian
2.585 2.585 0.000
2.585 0.000 2.585
5.170 2.585 2.585
0.000 2.585 2.585
2.585 5.170 2.585
2.585 2.585 5.170
0.000 0.000 0.000
5.170 5.170 2.504
5.170 2.504 5.170
7.837 5.170 5.170
2.585 2.585 2.585
7.756 7.756 7.756
2.504 5.170 5.170
5.170 7.837 5.170
5.170 5.170 7.837

---

Record 2
GdNi2Sb | the Alexandria database | PBE | relaxed; energy relative to the elements, uncorrected = -460 meV/atom
1.0
6.510 0.000 0.000
0.000 6.510 0.000
0.000 0.000 6.510
Gd Ni Sb
4 8 4
Cartesian
0.000 0.000 0.000
0.000 3.255 3.255
3.255 0.000 3.255
3.255 3.255 0.000
1.628 1.628 1.628
1.628 1.628 4.883
1.628 4.883 1.628
1.628 4.883 4.883
4.883 1.628 1.628
4.883 1.628 4.883
4.883 4.883 1.628
4.883 4.883 4.883
0.000 0.000 3.255
0.000 3.255 0.000
3.255 0.000 0.000
3.255 3.255 3.255

---

Record 3
YThCoBr | the Alexandria database | PBE | relaxed; energy relative to the elements, uncorrected = -726 meV/atom
1.0
3.976 0.000 0.000
-1.988 3.444 0.000
0.000 0.000 23.374
Y Th Co Br
3 3 3 3
Cartesian
0.000 0.000 0.000
0.000 2.296 15.583
1.988 1.148 7.791
0.000 0.000 4.949
0.000 2.296 20.532
1.988 1.148 12.741
0.000 0.000 14.030
0.000 2.296 6.239
1.988 1.148 21.821
0.000 0.000 17.936
0.000 2.296 10.144
1.988 1.148 2.353

---

Record 4
Pm2Dy3Hg2 | the Alexandria database | PBE | relaxed; distance to the lowest polymorph of the same formula = 32 meV/atom
1.0
3.615 0.000 0.000
0.000 31.964 0.000
0.000 0.000 3.599
Pm Dy Hg
4 6 4
Cartesian
0.000 6.459 0.000
0.000 25.505 0.000
1.808 9.523 0.000
1.808 22.441 0.000
0.000 12.076 1.800
0.000 15.982 1.800
0.000 19.888 1.800
1.808 0.000 1.800
1.808 3.906 1.800
1.808 28.058 1.800
0.000 1.940 0.000
0.000 30.024 0.000
1.808 14.042 0.000
1.808 17.922 0.000

---

Record 5
POs2Cl | the Alexandria database | PBE | relaxed; distance to the lowest polymorph of the same formula = 197 meV/atom; energy relative to the elements, uncorrected = 420 meV/atom
1.0
2.863 0.000 0.000
-1.431 2.479 0.000
0.000 0.000 24.795
P Os Cl
3 6 3
Cartesian
0.000 0.000 0.000
0.000 1.653 16.530
1.431 0.826 8.265
0.000 0.000 6.531
0.000 0.000 18.264
0.000 1.653 9.999
0.000 1.653 23.061
1.431 0.826 1.734
1.431 0.826 14.796
0.000 0.000 12.398
0.000 1.653 4.133
1.431 0.826 20.663

---

Record 6
CaSc5 | the Alexandria database | PBE | relaxed; distance to the lowest polymorph of the same formula = 0 meV/atom
1.0
5.353 0.000 0.000
0.000 3.348 0.000
0.000 0.000 17.744
Ca Sc
2 10
Cartesian
0.000 0.000 0.000
0.000 1.674 8.872
0.000 0.000 5.806
0.000 0.000 11.958
0.000 1.674 3.086
0.000 1.674 14.678
2.677 0.000 3.995
2.677 0.000 10.021
2.677 0.000 15.713
2.677 1.674 1.149
2.677 1.674 6.841
2.677 1.674 12.867

---

Record 7
HfNpTaO6 | the Alexandria database | PBE | relaxed; energy relative to the elements, uncorrected = -3040 meV/atom
1.0
5.396 0.000 0.000
-2.698 4.673 0.000
0.000 0.000 9.960
Hf Np Ta O
2 2 2 12
Cartesian
0.000 3.115 2.490
2.698 1.558 7.470
0.000 0.000 0.000
0.000 0.000 4.980
0.000 3.115 7.470
2.698 1.558 2.490
-0.926 1.702 6.367
-1.687 3.020 8.572
0.926 1.702 8.572
-0.761 4.624 6.367
1.937 0.049 1.388
1.011 1.653 3.592
1.687 3.020 6.367
0.761 4.624 8.572
3.459 0.049 3.592
1.771 2.971 1.388
4.385 1.653 1.388
3.624 2.971 3.592

---

Record 8
A plane-wave DFT calculation with PBE was carried out for a geometry-optimized NbAl2Pd structure.

Structure (POSCAR):
```
NbAl2Pd
1.0
2.933 0.000 0.000
-1.467 2.540 0.000
0.000 0.000 26.144
Nb Al Pd
3 6 3
Cartesian
0.000 0.000 0.000
0.000 1.694 17.429
1.467 0.847 8.715
0.000 0.000 15.084
0.000 0.000 19.735
0.000 1.694 6.370
0.000 1.694 11.020
1.467 0.847 2.305
1.467 0.847 23.799
0.000 0.000 4.323
0.000 1.694 21.753
1.467 0.847 13.038
```

---

Record 9
Li2InSnS4 | the Alexandria database | PBE | relaxed; energy relative to the elements, uncorrected = -794 meV/atom
1.0
8.592 0.000 0.000
0.000 6.985 0.000
0.000 0.000 6.450
Li In Sn S
4 2 2 8
Cartesian
2.148 1.211 0.000
2.148 5.774 3.225
6.444 1.211 0.000
6.444 5.774 3.225
0.000 2.328 3.268
4.296 4.657 0.043
0.000 4.759 6.420
4.296 2.226 3.195
0.000 2.286 5.783
0.000 4.721 2.540
2.037 1.150 2.465
2.259 5.835 5.690
4.296 2.264 5.765
4.296 4.699 2.558
6.333 5.835 5.690
6.555 1.150 2.465

---

Record 10
A plane-wave DFT calculation with PBE was carried out for a geometry-optimized Dy2YTlC structure.

Structure (POSCAR):
```
Dy2YTlC
1.0
4.927 0.000 0.000
0.000 4.927 0.000
0.000 0.000 4.926
Dy Y Tl C
2 1 1 1
Cartesian
0.000 2.463 0.000
2.463 0.000 0.000
0.000 0.000 2.463
2.463 2.463 2.463
0.000 0.000 0.000
```

---

Record 11
Cr2BiN | the Alexandria database | PBE | relaxed; distance to the lowest polymorph of the same formula = 1175 meV/atom; energy relative to the elements, uncorrected = 1260 meV/atom
1.0
6.404 0.000 0.000
0.000 6.404 0.000
0.000 0.000 6.404
Cr Bi N
8 4 4
Cartesian
1.601 1.601 1.601
1.601 1.601 4.803
1.601 4.803 1.601
1.601 4.803 4.803
4.803 1.601 1.601
4.803 1.601 4.803
4.803 4.803 1.601
4.803 4.803 4.803
0.000 0.000 0.000
0.000 3.202 3.202
3.202 0.000 3.202
3.202 3.202 0.000
0.000 0.000 3.202
0.000 3.202 0.000
3.202 0.000 0.000
3.202 3.202 3.202

---

Record 12
LaMoOs | the Alexandria database | PBE | relaxed; distance to the lowest polymorph of the same formula = 0 meV/atom
1.0
3.167 0.000 0.000
0.000 3.167 0.000
0.000 0.000 12.334
La Mo Os
2 2 2
Cartesian
0.000 0.000 0.000
1.584 1.584 6.167
0.000 0.000 3.681
1.584 1.584 9.848
0.000 0.000 8.575
1.584 1.584 2.407

---

Record 13
A plane-wave DFT calculation with PBE was carried out for a geometry-optimized InAg2Ru structure.

Structure (POSCAR):
```
InAg2Ru
1.0
2.927 0.000 0.000
-1.464 2.535 0.000
0.000 0.000 29.130
In Ag Ru
3 6 3
Cartesian
0.000 0.000 0.000
0.000 1.690 19.420
1.464 0.845 9.710
0.000 0.000 7.152
0.000 0.000 21.978
0.000 1.690 12.268
0.000 1.690 26.572
1.464 0.845 2.558
1.464 0.845 16.862
0.000 0.000 14.565
0.000 1.690 4.855
1.464 0.845 24.275
```

---

Record 14
A plane-wave DFT calculation with PBE was carried out for a geometry-optimized Ga2Co3Ge2 structure.

Structure (POSCAR):
```
Ga2Co3Ge2
1.0
3.948 0.000 0.000
0.000 4.087 0.000
0.000 0.000 11.611
Ga Co Ge
4 6 4
Cartesian
0.000 0.000 1.347
0.000 0.000 10.264
1.974 2.043 4.458
1.974 2.043 7.152
0.000 2.043 0.000
0.000 2.043 2.764
0.000 2.043 8.846
1.974 0.000 3.041
1.974 0.000 5.805
1.974 0.000 8.570
0.000 0.000 4.378
0.000 0.000 7.233
1.974 2.043 1.427
1.974 2.043 10.183
```

---

Record 15
BiSbPb | the Alexandria database | PBE | relaxed; distance to the lowest polymorph of the same formula = 41 meV/atom; energy relative to the elements, uncorrected = 87 meV/atom
1.0
8.414 0.000 0.000
0.000 6.887 0.000
0.000 0.000 6.802
Bi Sb Pb
4 4 4
Cartesian
0.000 0.000 0.000
0.000 3.443 0.000
4.207 0.000 3.401
4.207 3.443 3.401
1.610 1.722 2.369
2.597 5.165 5.769
5.817 1.722 1.032
6.804 5.165 4.433
1.125 5.165 2.782
3.082 1.722 6.183
5.332 5.165 0.618
7.289 1.722 4.019

---

Record 16
Ca3Zr2SnN6 | the Alexandria database | PBE | relaxed; energy relative to the elements, uncorrected = -1088 meV/atom
1.0
2.888 -5.001 0.000
2.888 5.001 0.000
-1.926 0.000 5.634
Ca Zr Sn N
3 2 1 6
Cartesian
0.000 0.000 0.000
2.888 1.665 0.000
2.888 -1.665 0.000
1.925 3.332 2.817
1.925 -3.332 2.817
1.925 0.000 2.817
0.947 1.693 1.584
-0.032 0.000 4.057
0.947 -1.693 1.584
2.902 1.693 4.049
3.882 0.000 1.577
2.902 -1.693 4.049

---

Record 17
Ac2PmBi2O2 | the Alexandria database | PBE | relaxed; energy relative to the elements, uncorrected = -1836 meV/atom
1.0
4.631 0.000 0.000
0.000 4.631 0.000
0.000 0.000 17.474
Ac Pm Bi O
4 2 4 4
Cartesian
0.000 0.000 1.969
0.000 0.000 15.505
2.316 2.316 6.768
2.316 2.316 10.706
0.000 0.000 8.737
2.316 2.316 0.000
0.000 0.000 5.435
0.000 0.000 12.039
2.316 2.316 3.302
2.316 2.316 14.172
0.000 2.316 0.000
0.000 2.316 8.737
2.316 0.000 0.000
2.316 0.000 8.737

---

Record 18
NaInCl2 | the Alexandria database | PBE | relaxed; distance to the lowest polymorph of the same formula = 123 meV/atom; energy relative to the elements, uncorrected = -1158 meV/atom
1.0
7.460 0.000 0.000
0.000 7.460 0.000
0.000 0.000 7.460
Na In Cl
4 4 8
Cartesian
0.000 0.000 0.000
0.000 3.730 3.730
3.730 0.000 3.730
3.730 3.730 0.000
0.000 0.000 3.730
0.000 3.730 0.000
3.730 0.000 0.000
3.730 3.730 3.730
1.865 1.865 1.865
1.865 1.865 5.595
1.865 5.595 1.865
1.865 5.595 5.595
5.595 1.865 1.865
5.595 1.865 5.595
5.595 5.595 1.865
5.595 5.595 5.595

---

Record 19
PmTlBiO6 | the Alexandria database | PBE | relaxed; energy relative to the elements, uncorrected = -1302 meV/atom
1.0
5.200 0.000 0.000
0.000 5.200 0.000
0.000 0.000 10.593
Pm Tl Bi O
2 2 2 12
Cartesian
0.000 0.000 0.000
2.600 2.600 5.296
0.000 0.000 7.058
2.600 2.600 1.762
0.000 0.000 3.546
2.600 2.600 8.842
0.963 0.963 5.200
0.993 0.993 1.914
1.082 1.082 8.804
1.518 3.682 3.508
1.607 3.593 7.210
1.637 3.563 10.497
3.563 1.637 10.497
3.593 1.607 7.210
3.682 1.518 3.508
4.117 4.117 8.804
4.207 4.207 1.914
4.237 4.237 5.200

---

Record 20
Cs3MoC6S3N6 | the Alexandria database | PBE | relaxed; energy relative to the elements, uncorrected = 273 meV/atom
1.0
9.872 0.000 0.000
-4.936 8.549 0.000
0.000 0.000 7.066
Cs Mo C S N
3 1 6 3 6
Cartesian
0.000 3.150 0.000
-2.208 6.974 0.000
2.208 6.974 0.000
4.936 2.850 0.000
4.936 0.182 1.846
4.936 0.182 5.220
2.626 4.183 1.846
2.626 4.183 5.220
7.246 4.183 1.846
7.246 4.183 5.220
-1.982 4.555 3.533
1.982 4.555 3.533
0.000 7.988 3.533
4.936 1.263 1.304
4.936 1.263 5.762
3.561 3.643 1.304
3.561 3.643 5.762
6.310 3.643 1.304
6.310 3.643 5.762

---

Record 21
LaBe2Zn | the Alexandria database | PBE | relaxed; distance to the lowest polymorph of the same formula = 214 meV/atom
1.0
4.061 0.000 0.000
0.000 4.214 0.000
0.000 0.000 4.606
La Be Zn
1 2 1
Cartesian
0.000 0.000 0.000
2.031 1.061 2.303
2.031 3.153 2.303
0.000 2.107 2.303

---

Record 22
ReOF5 | the Alexandria database | PBE | relaxed; energy relative to the elements, uncorrected = -1855 meV/atom
1.0
5.556 0.000 0.000
1.316 5.844 0.000
2.065 0.753 6.909
Re O F
2 2 10
Cartesian
0.000 0.000 0.000
4.468 3.299 3.455
3.288 3.511 4.777
5.649 3.086 2.132
2.340 0.711 5.092
2.172 4.221 0.169
1.601 0.890 0.224
3.748 4.809 2.561
3.251 2.174 2.542
5.685 4.424 4.367
5.189 1.788 4.348
7.336 5.707 6.686
6.765 2.376 6.740
6.597 5.886 1.817

---

Record 23
NbSbAu3 | the Alexandria database | PBE | relaxed; distance to the lowest polymorph of the same formula = 76 meV/atom; energy relative to the elements, uncorrected = 1022 meV/atom
1.0
5.133 0.000 0.000
0.000 5.133 0.000
0.000 0.000 5.133
Nb Sb Au
1 1 3
Cartesian
0.000 0.000 0.000
2.566 2.566 2.566
0.000 2.566 2.566
2.566 0.000 2.566
2.566 2.566 0.000

---

The evaluated final energy for the records listed, in turn: -0.29506; -0.58076; -0.46980; -0.26605; -0.51518; -0.40379; -0.75013; -0.44996; -0.30715; -0.43502; -0.48536; -0.64556; -0.29329; -0.39945; -0.28054; -0.55194; -0.45668; -0.22751; -0.42842; -0.48695; -0.23944; -0.41737; -0.27804 Ry per atom.